(1)
## InPt2Au (PBE)

Data for a relaxed InPt2Au crystal.

Geometry as CIF:
```
data_InPt2Au
_symmetry_space_group_name_H-M 'F -4 3 m'
_symmetry_Int_Tables_number 216
_symmetry_space_group_name_Hall 'F -4 2 3'
_cell_length_a 6.540
_cell_length_b 6.540
_cell_length_c 6.540
_cell_angle_alpha 90.00
_cell_angle_beta 90.00
_cell_angle_gamma 90.00
loop_
_atom_site_label
_atom_site_type_symbol
_atom_site_fract_x
_atom_site_fract_y
_atom_site_fract_z
In1 In 0.000 0.000 0.000
Pt1 Pt 0.000 0.000 0.500
Pt2 Pt 0.250 0.250 0.250
Au1 Au 0.250 0.250 0.750
```

Its mass density is 16.67 Mg/m³. For the total DFT energy (no corrections), the calculation gives -4.7053 eV/atom. The total magnetization comes out at 0.0 μB per cell.

(2)
## CuAgHgF4 (PBE)

Data for a relaxed CuAgHgF4 crystal.

Geometry as CIF:
```
data_CuAgHgF4
_symmetry_space_group_name_H-M 'I m m a'
_symmetry_Int_Tables_number 74
_symmetry_space_group_name_Hall '-I 2b 2'
_cell_length_a 6.259
_cell_length_b 7.364
_cell_length_c 9.777
_cell_angle_alpha 90.00
_cell_angle_beta 90.00
_cell_angle_gamma 90.00
loop_
_atom_site_label
_atom_site_type_symbol
_atom_site_fract_x
_atom_site_fract_y
_atom_site_fract_z
Cu1 Cu 0.250 0.250 0.250
Ag1 Ag 0.000 0.250 0.682
Hg1 Hg 0.000 0.000 0.000
F1 F 0.000 0.068 0.254
F2 F 0.237 0.250 0.999
```

Its mass density is 6.60 Mg/m³. For the total DFT energy (no corrections), the calculation gives -3.2633 eV/atom. The total magnetization comes out at 1.7 μB per cell. The value obtained for the formation energy from raw total energies is -1.158 eV/atom.

(3)
## Ge2AsIr (PBE)

Data for a relaxed Ge2AsIr crystal.

Geometry as CIF:
```
data_Ge2AsIr
_symmetry_space_group_name_H-M 'I -4 2 d'
_symmetry_Int_Tables_number 122
_symmetry_space_group_name_Hall 'I -4 2bw'
_cell_length_a 5.771
_cell_length_b 5.771
_cell_length_c 11.046
_cell_angle_alpha 90.00
_cell_angle_beta 90.00
_cell_angle_gamma 90.00
loop_
_atom_site_label
_atom_site_type_symbol
_atom_site_fract_x
_atom_site_fract_y
_atom_site_fract_z
Ge1 Ge 0.228 0.250 0.125
As1 As 0.000 0.000 0.500
Ir1 Ir 0.000 0.000 0.000
```

Its mass density is 7.45 Mg/m³. For the total DFT energy (no corrections), the calculation gives -5.5949 eV/atom. The total magnetization comes out at 0.0 μB per cell.

(4)
## Cd2Si2Pb (PBE)

Data for a relaxed Cd2Si2Pb crystal.

Geometry as CIF:
```
data_Cd2Si2Pb
_symmetry_space_group_name_H-M 'I 4/m m m'
_symmetry_Int_Tables_number 139
_symmetry_space_group_name_Hall '-I 4 2'
_cell_length_a 4.540
_cell_length_b 4.540
_cell_length_c 11.089
_cell_angle_alpha 90.00
_cell_angle_beta 90.00
_cell_angle_gamma 90.00
loop_
_atom_site_label
_atom_site_type_symbol
_atom_site_fract_x
_atom_site_fract_y
_atom_site_fract_z
Cd1 Cd 0.000 0.500 0.250
Si1 Si 0.000 0.000 0.106
Pb1 Pb 0.000 0.000 0.500
```

Its mass density is 7.09 Mg/m³. For the total DFT energy (no corrections), the calculation gives -3.0037 eV/atom. The total magnetization comes out at 0.0 μB per cell. The value obtained for the formation energy from raw total energies is 0.273 eV/atom.

(5)
## Sr2P (PBE)

Data for a relaxed Sr2P crystal.

Geometry as CIF:
```
data_Sr2P
_symmetry_space_group_name_H-M 'P 63/m m c'
_symmetry_Int_Tables_number 194
_symmetry_space_group_name_Hall '-P 6c 2c'
_cell_length_a 9.1403
_cell_length_b 9.1403
_cell_length_c 8.9663
_cell_angle_alpha 90.00
_cell_angle_beta 90.00
_cell_angle_gamma 120.00
loop_
_atom_site_label
_atom_site_type_symbol
_atom_site_fract_x
_atom_site_fract_y
_atom_site_fract_z
Sr1 Sr 0.0000 0.0000 0.0000
Sr2 Sr 0.2021 0.4041 0.2500
P1 P 0.3333 0.6667 0.0268
```

Its mass density is 2.11 Mg/m³. For the total DFT energy (no corrections), the calculation gives -2.7116 eV/atom. The total magnetization comes out at 0.0 μB per cell.

(6)
## RbMgTa3 (PBE)

Data for a relaxed RbMgTa3 crystal.

Geometry as CIF:
```
data_RbMgTa3
_symmetry_space_group_name_H-M 'P m -3 m'
_symmetry_Int_Tables_number 221
_symmetry_space_group_name_Hall '-P 4 2 3'
_cell_length_a 5.036
_cell_length_b 5.036
_cell_length_c 5.036
_cell_angle_alpha 90.00
_cell_angle_beta 90.00
_cell_angle_gamma 90.00
loop_
_atom_site_label
_atom_site_type_symbol
_atom_site_fract_x
_atom_site_fract_y
_atom_site_fract_z
Rb1 Rb 0.000 0.000 0.000
Mg1 Mg 0.500 0.500 0.500
Ta1 Ta 0.000 0.500 0.500
```

Its mass density is 8.48 Mg/m³. For the total DFT energy (no corrections), the calculation gives -5.2324 eV/atom. The total magnetization comes out at 0.0 μB per cell.